(1)
The following is a DFT calculation (PBE-GGA) of a geometry-optimized DyAl9Pd2 structure.

a b c (Å): 10.697 10.697 7.188
angles (deg): 90.00 90.00 90.00
Space group I4_1/amd (No. 141, origin choice 2)
Symmetry-distinct sites (fractional):
Dy: 0.000 0.250 0.375 (multiplicity 4)
Al: 0.000 0.250 0.875 (multiplicity 4)
Al: 0.122 0.048 0.679 (multiplicity 32)
Pd: 0.000 0.000 0.000 (multiplicity 8)

Summary:
Total energy in eV per cell: -214.63
Formation energy from the elements in eV per atom: -0.416
Crystal system: tetragonal
V in Å³/f.u.: 205.62



(2)
The following is a DFT calculation (PBE-GGA) of a geometry-optimized LaTa2Os structure.

a b c (Å): 11.028 3.110 5.270
angles (deg): 90.00 107.56 90.00
Space group C2/m (No. 12)
Symmetry-distinct sites (fractional):
La: 0.000 0.000 0.000 (multiplicity 2)
Ta: 0.205 0.000 0.677 (multiplicity 4)
Os: 0.000 0.500 0.500 (multiplicity 2)

Summary:
Total energy in eV per cell: -77.65
Formation energy from the elements in eV per atom: 0.259
Crystal system: monoclinic
Distance to the lowest polymorph of the same formula in meV/atom: 170
V in Å³/f.u.: 86.16



(3)
The following is a DFT calculation (PBE-GGA) of a geometry-optimized NiPRh2 structure.

a b c (Å): 2.842 2.842 6.435
angles (deg): 90.00 90.00 90.00
Space group P4/mmm (No. 123)
Symmetry-distinct sites (fractional):
Ni: 0.000 0.000 0.000 (multiplicity 1)
P: 0.000 0.000 0.500 (multiplicity 1)
Rh: 0.500 0.500 0.277 (multiplicity 2)

Summary:
Total energy in eV per cell: -26.60
Formation energy from the elements in eV per atom: -0.176
Crystal system: tetragonal
Distance to the lowest polymorph of the same formula in meV/atom: 120
V in Å³/f.u.: 51.97



(4)
The following is a DFT calculation (PBE-GGA) of a geometry-optimized Er7Sn2Os2 structure.

a b c (Å): 8.222 10.655 7.111
angles (deg): 90.00 90.00 90.00
Space group Cmmm (No. 65)
Symmetry-distinct sites (fractional):
Er: 0.000 0.000 0.000 (multiplicity 2)
Er: 0.000 0.500 0.232 (multiplicity 4)
Er: 0.250 0.250 0.245 (multiplicity 8)
Sn: 0.182 0.000 0.500 (multiplicity 4)
Os: 0.000 0.287 0.000 (multiplicity 4)

Summary:
Total energy in eV per cell: -131.48
Formation energy from the elements in eV per atom: -0.303
Crystal system: orthorhombic
V in Å³/f.u.: 311.48



(5)
The following is a DFT calculation (PBE-GGA) of a geometry-optimized V2Ga2Rh structure.

a b c (Å): 6.498 6.498 3.461
angles (deg): 90.00 90.00 90.00
Space group P4/mbm (No. 127)
Symmetry-distinct sites (fractional):
V: 0.167 0.333 0.000 (multiplicity 4)
Ga: 0.135 0.635 0.500 (multiplicity 4)
Rh: 0.000 0.000 0.500 (multiplicity 2)

Summary:
Total energy in eV per cell: -64.99
Formation energy from the elements in eV per atom: -0.170
Crystal system: tetragonal
Distance to the lowest polymorph of the same formula in meV/atom: 0
V in Å³/f.u.: 73.08



(6)
The following is a DFT calculation (PBE-GGA) of a geometry-optimized Tl2PAu structure.

a b c (Å): 7.381 4.262 7.486
angles (deg): 90.00 109.00 90.00
Space group Cm (No. 8)
Symmetry-distinct sites (fractional):
Tl: 0.000 0.000 0.000 (multiplicity 2)
Tl: 0.197 0.000 0.598 (multiplicity 2)
P: 0.264 0.500 0.295 (multiplicity 2)
Au: 0.433 0.000 0.303 (multiplicity 2)

Summary:
Total energy in eV per cell: -27.12
Formation energy from the elements in eV per atom: -0.035
Crystal system: monoclinic
Distance to the lowest polymorph of the same formula in meV/atom: 0
V in Å³/f.u.: 111.32



(7)
The following is a DFT calculation (PBE-GGA) of a geometry-optimized Ba3U2InO9 structure.

a b c (Å): 6.1834 6.1834 7.6049
angles (deg): 90.00 90.00 120.00
Space group P-3m1 (No. 164)
Symmetry-distinct sites (fractional):
Ba: 0.0000 0.0000 0.0000 (multiplicity 1)
Ba: 0.3333 0.6667 0.6563 (multiplicity 2)
U: 0.3333 0.6667 0.1723 (multiplicity 2)
In: 0.0000 0.0000 0.5000 (multiplicity 1)
O: 0.0000 0.5000 0.0000 (multiplicity 3)
O: 0.1675 0.3349 0.3331 (multiplicity 6)

Summary:
Total energy in eV per cell: -118.38
Raw formation energy in eV per atom: -2.8450
Crystal system: trigonal
V in Å³/f.u.: 251.81



(8)
The following is a DFT calculation (PBE-GGA) of a geometry-optimized PmY3Er structure.

a b c (Å): 7.988 5.059 7.993
angles (deg): 90.00 90.05 90.00
Space group P2_1/m (No. 11)
Symmetry-distinct sites (fractional):
Pm: 0.249 0.250 0.248 (multiplicity 2)
Y: 0.150 0.750 0.549 (multiplicity 2)
Y: 0.347 0.750 0.950 (multiplicity 2)
Y: 0.449 0.250 0.651 (multiplicity 2)
Er: 0.049 0.250 0.850 (multiplicity 2)

Summary:
Total energy in eV per cell: -57.19
Formation energy from the elements in eV per atom: 0.022
Crystal system: monoclinic
Distance to the lowest polymorph of the same formula in meV/atom: 15
V in Å³/f.u.: 161.49



(9)
The following is a DFT calculation (PBE-GGA) of a geometry-optimized Ac4NiPt2 structure.

a b c (Å): 15.778 4.463 7.658
angles (deg): 90.00 119.00 90.00
Space group C2/m (No. 12)
Symmetry-distinct sites (fractional):
Ac: 0.127 0.000 0.282 (multiplicity 4)
Ac: 0.130 0.500 0.807 (multiplicity 4)
Ni: 0.000 0.500 0.000 (multiplicity 2)
Pt: 0.243 0.000 0.744 (multiplicity 4)

Summary:
Total energy in eV per cell: -78.89
Formation energy from the elements in eV per atom: -0.736
Crystal system: monoclinic
Distance to the lowest polymorph of the same formula in meV/atom: 0
V in Å³/f.u.: 235.79



(10)
The following is a DFT calculation (PBE-GGA) of a geometry-optimized La2HfAg structure.

a b c (Å): 5.673 5.673 3.481
angles (deg): 90.00 90.00 90.00
Space group P4/mmm (No. 123)
Symmetry-distinct sites (fractional):
La: 0.000 0.500 0.000 (multiplicity 2)
Hf: 0.000 0.000 0.500 (multiplicity 1)
Ag: 0.500 0.500 0.500 (multiplicity 1)

Summary:
Total energy in eV per cell: -22.41
Formation energy from the elements in eV per atom: 0.063
Crystal system: tetragonal
Distance to the lowest polymorph of the same formula in meV/atom: 42
V in Å³/f.u.: 112.00



(11)
The following is a DFT calculation (PBE-GGA) of a geometry-optimized AcNd6SmHo2 structure.

a b c (Å): 9.425 15.483 9.829
angles (deg): 90.00 96.21 90.00
Space group C2/c (No. 15)
Symmetry-distinct sites (fractional):
Ac: 0.000 0.030 0.250 (multiplicity 4)
Nd: 0.065 0.183 0.945 (multiplicity 8)
Nd: 0.098 0.391 0.119 (multiplicity 8)
Nd: 0.217 0.229 0.319 (multiplicity 8)
Sm: 0.000 0.410 0.750 (multiplicity 4)
Ho: 0.245 0.447 0.452 (multiplicity 8)

Summary:
Total energy in eV per cell: -181.63
Formation energy from the elements in eV per atom: 0.118
Crystal system: monoclinic
V in Å³/f.u.: 356.47



(12)
The following is a DFT calculation (PBE-GGA) of a geometry-optimized BaRu3I structure.

a b c (Å): 5.228 5.228 5.228
angles (deg): 90.00 90.00 90.00
Space group Pm-3m (No. 221)
Symmetry-distinct sites (fractional):
Ba: 0.000 0.000 0.000 (multiplicity 1)
Ru: 0.000 0.000 0.500 (multiplicity 3)
I: 0.500 0.500 0.500 (multiplicity 1)

Summary:
Total energy in eV per cell: -18.87
Raw formation energy in eV per atom: 2.4852
Crystal system: cubic
Distance to the lowest polymorph of the same formula in meV/atom: 1315
V in Å³/f.u.: 142.91



(13)
The following is a DFT calculation (PBE-GGA) of a geometry-optimized AcAs2Pb structure.

a b c (Å): 7.611 7.611 7.611
angles (deg): 90.00 90.00 90.00
Space group Fm-3m (No. 225)
Symmetry-distinct sites (fractional):
Ac: 0.000 0.000 0.000 (multiplicity 4)
As: 0.250 0.250 0.250 (multiplicity 8)
Pb: 0.000 0.000 0.500 (multiplicity 4)

Summary:
Total energy in eV per cell: -77.09
Formation energy from the elements in eV per atom: -0.539
Crystal system: cubic
Distance to the lowest polymorph of the same formula in meV/atom: 71
V in Å³/f.u.: 110.21



(14)
The following is a DFT calculation (PBE-GGA) of a geometry-optimized Hf2CoHIr structure.

a b c (Å): 4.406 4.406 3.622
angles (deg): 90.00 90.00 90.00
Space group P4/mmm (No. 123)
Symmetry-distinct sites (fractional):
Hf: 0.000 0.500 0.000 (multiplicity 2)
Co: 0.000 0.000 0.500 (multiplicity 1)
H: 0.500 0.500 0.000 (multiplicity 1)
Ir: 0.500 0.500 0.500 (multiplicity 1)

Summary:
Total energy in eV per cell: -41.42
Crystal system: tetragonal
Distance to the lowest polymorph of the same formula in meV/atom: 146
V in Å³/f.u.: 70.32



(15)
The following is a DFT calculation (PBE-GGA) of a geometry-optimized PtAuSe2 structure.

a b c (Å): 10.266 3.635 5.021
angles (deg): 90.00 98.66 90.00
Space group Cm (No. 8)
Symmetry-distinct sites (fractional):
Pt: 0.000 0.000 0.000 (multiplicity 2)
Au: 0.272 0.000 0.066 (multiplicity 2)
Se: 0.103 0.500 0.302 (multiplicity 2)
Se: 0.414 0.000 0.686 (multiplicity 2)

Summary:
Total energy in eV per cell: -32.98
Raw formation energy in eV per atom: -0.0508
Crystal system: monoclinic
V in Å³/f.u.: 92.61



(16)
The following is a DFT calculation (PBE-GGA) of a geometry-optimized HfTlBi2 structure.

a b c (Å): 3.810 3.810 7.875
angles (deg): 90.00 90.00 90.00
Space group P4/mmm (No. 123)
Symmetry-distinct sites (fractional):
Hf: 0.000 0.000 0.000 (multiplicity 1)
Tl: 0.000 0.000 0.500 (multiplicity 1)
Bi: 0.500 0.500 0.209 (multiplicity 2)

Summary:
Total energy in eV per cell: -20.11
Formation energy from the elements in eV per atom: -0.006
Crystal system: tetragonal
Distance to the lowest polymorph of the same formula in meV/atom: 35
V in Å³/f.u.: 114.32



(17)
The following is a DFT calculation (PBE-GGA) of a geometry-optimized La2Tm5Tl structure.

a b c (Å): 5.105 22.038 11.289
angles (deg): 90.00 90.00 90.00
Space group Cmcm (No. 63)
Symmetry-distinct sites (fractional):
La: 0.000 0.131 0.102 (multiplicity 8)
Tm: 0.000 0.028 0.622 (multiplicity 8)
Tm: 0.000 0.270 0.588 (multiplicity 8)
Tm: 0.000 0.282 0.250 (multiplicity 4)
Tl: 0.000 0.147 0.750 (multiplicity 4)

Summary:
Total energy in eV per cell: -118.76
Formation energy from the elements in eV per atom: 0.611
Crystal system: orthorhombic
V in Å³/f.u.: 317.48



(18)
The following is a DFT calculation (PBE-GGA) of a geometry-optimized NdHoMgPd structure.

a b c (Å): 7.365 7.365 7.365
angles (deg): 90.00 90.00 90.00
Space group F-43m (No. 216)
Symmetry-distinct sites (fractional):
Nd: 0.000 0.000 0.000 (multiplicity 4)
Ho: 0.000 0.000 0.500 (multiplicity 4)
Mg: 0.250 0.250 0.750 (multiplicity 4)
Pd: 0.250 0.250 0.250 (multiplicity 4)

Summary:
Total energy in eV per cell: -70.30
Formation energy from the elements in eV per atom: -0.361
Crystal system: cubic
V in Å³/f.u.: 99.86



(19)
The following is a DFT calculation (PBE-GGA) of a geometry-optimized ScPaHg2O6 structure.

a b c (Å): 5.7413 5.7413 15.0908
angles (deg): 90.00 90.00 120.00
Space group R-3 (No. 148, hexagonal axes)
Symmetry-distinct sites (fractional):
Sc: 0.0000 0.0000 0.0000 (multiplicity 3)
Pa: 0.0000 0.0000 0.5000 (multiplicity 3)
Hg: 0.0000 0.0000 0.2558 (multiplicity 6)
O: 0.0029 0.3915 0.7480 (multiplicity 18)

Summary:
Total energy in eV per cell: -204.62
Raw formation energy in eV per atom: -2.2027
Crystal system: trigonal
V in Å³/f.u.: 143.59



(20)
The following is a DFT calculation (PBE-GGA) of a geometry-optimized Cd12Bi3Au5 structure.

a b c (Å): 16.868 16.868 16.868
angles (deg): 90.00 90.00 90.00
Space group Ia-3d (No. 230)
Symmetry-distinct sites (fractional):
Cd: 0.021 0.070 0.647 (multiplicity 96)
Bi: 0.000 0.250 0.125 (multiplicity 24)
Au: 0.000 0.000 0.000 (multiplicity 16)
Au: 0.000 0.250 0.375 (multiplicity 24)

Summary:
Total energy in eV per cell: -295.23
Formation energy from the elements in eV per atom: 0.105
Crystal system: cubic
V in Å³/f.u.: 599.91